Entry 1:
RbCaTl2Pt PBE-GGA relaxed; space group = P4/mmm (123)
1.0
-1.6641 -1.9141 -4.8915
5.2226 -1.1511 -1.3263
-0.5632 -5.0550 2.1697
Tl Ca Rb Pt
2 1 1 1
Direct
0.0000 0.5000 0.0000
0.5000 0.0000 0.0000
0.0000 0.0000 0.5000
0.5000 0.5000 0.5000
0.0000 0.0000 0.0000

=====

Entry 2:
RbCaZn2Pt PBE-GGA relaxed; space group = P4/mmm (123)
1.0
-4.5394 2.2230 -0.7489
-2.3349 -4.1250 1.9083
0.2384 2.1532 4.9461
Zn Ca Rb Pt
2 1 1 1
Direct
0.0000 0.5000 0.0000
0.5000 0.0000 0.0000
0.0000 0.0000 0.5000
0.5000 0.5000 0.5000
0.0000 0.0000 0.0000

=====

Entry 3:
RbCa2ZnPt PBE-GGA relaxed; space group = P4/mmm (123)
1.0
5.6836 0.0000 0.0000
0.0000 5.6836 0.0000
0.0000 0.0000 5.1409
Zn Ca Rb Pt
1 2 1 1
Direct
0.0000 0.0000 0.5000
0.0000 0.5000 0.0000
0.5000 0.0000 0.0000
0.5000 0.5000 0.5000
0.0000 0.0000 0.0000

=====

Going through the records in order, we get ΔH_f (0 K) values of -0.2074, -0.2658, -0.3007 eV per atom.